1.
# NaPbBr2

A relaxed NaPbBr2 crystal (PBE, the Alexandria database).

abc: 9.6511 9.6511 9.6511
angles: 24.06 24.06 24.06
With the nearest neighbours (Å) after each atom.
Sites, in units of the cell vectors:
Pb (0.0000, 0.0000, 0.0000)  2 Br 2.91
Na (0.5000, 0.5000, 0.5000)  6 Br 2.92
Br (0.8963, 0.8963, 0.8963)  1 Pb 2.91, 3 Na 2.92
Br (0.1037, 0.1037, 0.1037)  1 Pb 2.91, 3 Na 2.92

Computed properties:
D(E_F) (states/eV/f.u.): 0.78
Formation energy from raw total energies (eV per atom): -0.9112

=====

2.
# CeZrMoN3

A relaxed CeZrMoN3 crystal (PBE, the Alexandria database).

abc: 3.1881 7.0807 7.9653
angles: 96.49 90.00 90.00
With the nearest neighbours (Å) after each atom.
Sites, in units of the cell vectors:
Ce (0.7500, 0.8462, 0.8208)  7 N 2.47-2.59
Ce (0.2500, 0.1538, 0.1792)  7 N 2.47-2.59
Zr (0.2500, 0.6350, 0.1409)  5 N 2.14-2.27
Zr (0.7500, 0.3650, 0.8591)  5 N 2.14-2.27
Mo (0.2500, 0.1276, 0.5809)  4 N 2.10-2.19
Mo (0.7500, 0.8724, 0.4191)  4 N 2.10-2.19
N (0.2500, 0.8303, 0.5826)  3 Mo 2.10-2.11
N (0.7500, 0.8631, 0.1433)  1 Mo 2.19, 2 Zr 2.27
N (0.7500, 0.4089, 0.1293)  3 Zr 2.14-2.25
N (0.7500, 0.1697, 0.4174)  3 Mo 2.10-2.11
N (0.2500, 0.5911, 0.8707)  3 Zr 2.14-2.25
N (0.2500, 0.1369, 0.8567)  1 Mo 2.19, 2 Zr 2.27

Computed properties:
D(E_F) (states/eV/f.u.): 4.22
Formation energy from raw total energies (eV per atom): -1.0834

=====

3.
# LiHf3

A relaxed LiHf3 crystal (PBE, the Alexandria database).

abc: 2.9966 2.9964 10.1609
angles: 90.00 90.00 90.00
With the nearest neighbours (Å) after each atom.
Sites, in units of the cell vectors:
Hf (0.0000, 0.5000, 0.4744)  10 Hf 3.00-3.11
Hf (0.5000, 0.5000, 0.2059)  6 Hf 3.00-3.11, 4 Li 3.25
Hf (0.5000, 0.0000, 0.6893)  8 Hf 3.00-3.04, 2 Li 3.17
Li (0.0000, 0.0000, 0.9637)  4 Li 3.00, 6 Hf 3.17-3.25

Computed properties:
D(E_F) (states/eV/f.u.): 4.70
Energy of formation from the pure elements (kJ/mol of formula units): 143

=====

4.
# NpPaTe2C

A relaxed NpPaTe2C crystal (PBE, the Alexandria database).

abc: 4.2074 4.2074 15.2919
angles: 90.00 90.00 90.00
With the nearest neighbours (Å) after each atom.
Sites, in units of the cell vectors:
Np (0.5000, 0.0000, 0.1192)  6 Te 2.98-3.22
Np (0.0000, 0.5000, 0.8808)  6 Te 2.98-3.22
Pa (0.5000, 0.0000, 0.5690)  4 C 2.35
Pa (0.0000, 0.5000, 0.4310)  4 C 2.35
Te (0.0000, 0.5000, 0.6862)  1 Np 2.98
Te (0.0000, 0.5000, 0.0911)  5 Np 3.01-3.22
Te (0.5000, 0.0000, 0.9089)  5 Np 3.01-3.22
Te (0.5000, 0.0000, 0.3138)  1 Np 2.98
C (0.0000, 0.0000, 0.5000)  4 Pa 2.35
C (0.5000, 0.5000, 0.5000)  4 Pa 2.35

Computed properties:
D(E_F) (states/eV/f.u.): 9.84
Formation energy from raw total energies (eV per atom): -0.5520

=====

5.
# YTl2As

A relaxed YTl2As crystal (PBE, the Alexandria database).

abc: 5.9704 4.2920 4.2894
angles: 89.44 90.00 90.00
With the nearest neighbours (Å) after each atom.
Sites, in units of the cell vectors:
Y (0.5000, 0.2500, 0.2500)  4 As 3.02-3.05, 4 Tl 3.37
Tl (0.0000, 0.9943, 0.9943)  4 Tl 2.98-3.12, 2 As 3.34
Tl (0.0000, 0.5057, 0.5057)  4 Tl 2.98-3.12, 2 As 3.34
As (0.5000, 0.7500, 0.7500)  4 Y 3.02-3.05, 4 Tl 3.34

Computed properties:
D(E_F) (states/eV/f.u.): 3.00
Energy of formation from the pure elements (kJ/mol of formula units): -125

=====

6.
# Sr2CrH

A relaxed Sr2CrH crystal (PBE, the Alexandria database).

abc: 7.5341 7.5341 6.7770
angles: 56.23 56.23 90.00
With the nearest neighbours (Å) after each atom.
Sites, in units of the cell vectors:
Sr (0.5246, 0.1250, 0.2500)  2 H 2.43
Sr (0.2254, 0.6250, 0.2500)  2 H 2.43
Sr (0.3750, 0.4754, 0.7500)  2 H 2.43
Sr (0.8750, 0.7746, 0.7500)  2 H 2.43
H (0.5000, 0.5000, 0.0000)  4 Sr 2.43
H (0.2500, 0.7500, 0.5000)  4 Sr 2.43
Cr (0.0000, 0.0000, 0.0000)  4 Sr 3.41
Cr (0.7500, 0.2500, 0.5000)  4 Sr 3.41

Computed properties:
D(E_F) (states/eV/f.u.): 2.47
Final energy (eV per atom): -3.745

=====

7.
# LiIn4Pb7

A relaxed LiIn4Pb7 crystal (PBE, the Alexandria database).

abc: 5.8067 4.7394 14.8607
angles: 99.76 99.24 114.62
With the nearest neighbours (Å) after each atom.
Sites, in units of the cell vectors:
Li (0.0139, 0.7783, 0.5469)  2 In 3.00-3.01, 7 Pb 3.03-3.22
In (0.6208, 0.2262, 0.8323)  9 Pb 3.34-3.56, 2 In 3.47-3.52
In (0.3311, 0.7527, 0.1686)  7 Pb 3.24-3.59
In (0.9631, 0.9783, 0.9923)  8 Pb 3.28-3.58, 3 In 3.47-3.65
In (0.1595, 0.2998, 0.4451)  2 Li 3.00-3.01, 3 Pb 3.06-3.35
Pb (0.6638, 0.5039, 0.3453)  1 Li 3.05, 1 In 3.35
Pb (0.3001, 0.4833, 0.6701)  2 Li 3.10-3.15, 2 In 3.18-3.45, 3 Pb 3.29-3.39
Pb (0.2816, 0.5948, 0.9117)  6 In 3.28-3.48, 5 Pb 3.51-3.57
Pb (0.6320, 0.3560, 0.0761)  7 In 3.33-3.59, 4 Pb 3.44-3.56
Pb (0.9439, 0.8402, 0.7459)  1 Li 3.03, 3 Pb 3.29-3.39, 2 In 3.34-3.37
Pb (0.9851, 0.1123, 0.2289)  4 In 3.06-3.34
Pb (0.6052, 0.0743, 0.5369)  3 Li 3.15-3.22, 3 In 3.36-3.52

Computed properties:
D(E_F) (states/eV/f.u.): 5.22
Energy of formation from the pure elements (kJ/mol of formula units): 11

=====

8.
# Cu6Ge

A relaxed Cu6Ge crystal (PBE, the Alexandria database).

abc: 4.1339 4.1339 6.3839
angles: 71.11 71.11 60.00
With the nearest neighbours (Å) after each atom.
Sites, in units of the cell vectors:
Cu (0.7142, 0.7142, 0.8574)  5 Cu 2.52-2.58, 3 Ge 2.53
Cu (0.4312, 0.4312, 0.7065)  8 Cu 2.45-2.58
Cu (0.1437, 0.1437, 0.5688)  7 Cu 2.52, 1 Ge 2.55
Cu (0.8563, 0.8563, 0.4312)  7 Cu 2.52, 1 Ge 2.55
Cu (0.5688, 0.5688, 0.2935)  8 Cu 2.45-2.58
Cu (0.2858, 0.2858, 0.1426)  5 Cu 2.52-2.58, 3 Ge 2.53
Ge (0.0000, 0.0000, 0.0000)  8 Cu 2.53-2.55

Computed properties:
D(E_F) (states/eV/f.u.): 2.68
Energy of formation from the pure elements (kJ/mol of formula units): 15